(P)
16
Lattice="-2.8694 2.9137 4.1070 2.8694 -2.9137 4.1070 2.8694 2.9137 -4.1070" Properties=species:S:1:pos:R:3 comment="Li2CoCuO4 | Alexandria via LeMat-Bulk | PBE with a Hubbard U | optimized geometry" dos_at_fermi_per_ev_fu=1.0 space_group="Imma, No. 74" pbc="T T T"
Li 0.0000 0.0000 0.0000
Li -1.4347 1.4568 2.0535
Li 0.0000 2.9137 0.0000
Li 1.4347 1.4568 2.0535
Co 1.4347 1.4568 -2.0535
Co 1.4347 -1.4568 2.0535
Cu 2.8694 0.0000 0.0000
Cu 0.0000 0.0000 4.1070
O 2.8694 -0.1436 2.0174
O 2.8694 2.7701 -2.0174
O 1.4884 1.4568 -0.1168
O 4.2504 1.4568 -0.1168
O -1.3810 1.4568 4.2238
O 1.3810 1.4568 4.2238
O 0.0000 0.1436 6.1244
O 0.0000 3.0573 2.0896

---

(Q)
16
Lattice="4.0624 0.0000 0.0000 0.0000 4.0624 0.0000 0.0000 0.0000 8.4085" Properties=species:S:1:pos:R:3 comment="Li2CoCuO4 | Alexandria via LeMat-Bulk | PBE with a Hubbard U | optimized geometry" dos_at_fermi_per_ev_fu=4.2 space_group="I-4m2, No. 119" pbc="T T T"
Li 0.0000 0.0000 0.0000
Li 0.0000 2.0312 2.1021
Li 2.0312 0.0000 6.3064
Li 2.0312 2.0312 4.2043
Co 0.0000 0.0000 4.2043
Co 2.0312 2.0312 0.0000
Cu 0.0000 2.0312 6.3064
Cu 2.0312 0.0000 2.1021
O 0.0000 0.0000 2.2761
O 0.0000 0.0000 6.1324
O 0.0000 2.0312 4.3647
O 0.0000 2.0312 8.2481
O 2.0312 0.0000 0.1604
O 2.0312 0.0000 4.0438
O 2.0312 2.0312 1.9281
O 2.0312 2.0312 6.4804

---

(R)
16
Lattice="4.0973 0.0000 0.0000 -2.0441 4.6449 0.0000 -2.0384 -1.0536 7.3303" Properties=species:S:1:pos:R:3 comment="Li2CoCuO4 | Alexandria via LeMat-Bulk | PBE with a Hubbard U | optimized geometry" dos_at_fermi_per_ev_fu=2.1 space_group="P1, No. 1" pbc="T T T"
Li 0.0000 0.0000 0.0000
Li -2.0399 3.6508 2.7381
Li 0.0067 1.7673 3.6597
Li 0.0111 0.8068 6.4202
Co 0.0015 2.7781 0.9068
Co 2.0569 -0.1088 4.5782
Cu -2.0331 2.6676 5.5063
Cu 2.0504 0.8929 1.8154
O -2.0347 0.9758 6.4303
O 0.0032 1.0519 1.7452
O 0.0118 -0.2472 4.6453
O 0.0019 4.4878 0.0426
O 0.0094 3.7712 2.5877
O 0.0137 2.8315 5.4212
O 2.0499 2.6284 0.9864
O 2.0598 1.6293 3.7601

---

Which of them is most stable? Easy: (P).